DFT (PBE) results for Nb2GaPtO after structural relaxation.

The calculation puts the density of states at the Fermi level at 4.70 states/eV/f.u. Its space-group type is No. 123. Its energy above the most stable polymorph in this dataset is 0.0 kJ/mol of atoms.

Lattice parameters (Å, degrees): 4.1183 4.5443 4.1183 90.00 90.00 90.00
Closest atoms and distances in Å follow each position.
Element x y z (fractional)
O (0.0000, 0.0000, 0.0000)  4 Nb 2.06, 2 Ga 2.27
Nb (0.0000, 0.0000, 0.5000)  2 O 2.06
Nb (0.5000, 0.0000, 0.0000)  2 O 2.06
Ga (0.0000, 0.5000, 0.0000)  2 O 2.27
Pt (0.5000, 0.5000, 0.5000)  4 Ga 2.91, 8 Nb 3.07

DFT (PBE) results for Rb2NbGaO5 after structural relaxation.

Its space-group type is No. 36.

Lattice parameters (Å, degrees): 3.2378 7.9761 13.0089 90.00 90.00 101.71
Closest atoms and distances in Å follow each position.
Element x y z (fractional)
Rb (0.8634, 0.7269, 0.8259)  5 O 2.79-3.00
Rb (0.0680, 0.1359, 0.6532)  5 O 2.74-2.93
Rb (0.1366, 0.2731, 0.3259)  5 O 2.79-3.00
Rb (0.9320, 0.8641, 0.1532)  5 O 2.74-2.93
Nb (0.7879, 0.5758, 0.5376)  1 O 1.80
Nb (0.2121, 0.4242, 0.0376)  1 O 1.80
Ga (0.5686, 0.1372, 0.9210)  4 O 1.76-1.96
Ga (0.4314, 0.8628, 0.4210)  4 O 1.76-1.96
O (0.3261, 0.6521, 0.0145)  1 Nb 1.80
O (0.6938, 0.3877, 0.9292)  1 Ga 1.96, 2 Nb 2.17
O (0.5080, 0.0161, 0.8073)  1 Ga 1.76
O (0.2979, 0.5958, 0.6314)  2 Nb 2.03
O (0.9303, 0.8605, 0.5040)  2 Ga 1.95
O (0.6739, 0.3479, 0.5145)  1 Nb 1.80
O (0.3062, 0.6123, 0.4292)  1 Ga 1.96, 2 Nb 2.17
O (0.4920, 0.9839, 0.3073)  1 Ga 1.76
O (0.7021, 0.4042, 0.1314)  2 Nb 2.03
O (0.0697, 0.1395, 0.0040)  2 Ga 1.95

DFT (PBE) results for ScNbGaO6 after structural relaxation.

The calculation puts the density of states at the Fermi level at 5.75 states/eV/f.u. Its space-group type is No. 102.

Lattice parameters (Å, degrees): 4.7773 4.7773 9.3517 90.00 90.00 90.00
Closest atoms and distances in Å follow each position.
Element x y z (fractional)
Sc (0.5000, 0.5000, 0.5017)  6 O 2.10-2.16
Sc (0.0000, 0.0000, 0.0017)  6 O 2.10-2.16
Nb (0.5000, 0.5000, 0.1696)  6 O 1.98-2.04
Nb (0.0000, 0.0000, 0.6696)  6 O 1.98-2.04
Ga (0.5000, 0.5000, 0.8343)  6 O 2.01-2.02
Ga (0.0000, 0.0000, 0.3343)  6 O 2.01-2.02
O (0.1890, 0.8110, 0.4996)  1 Ga 2.01, 1 Nb 2.04, 1 Sc 2.10
O (0.8110, 0.1890, 0.4996)  1 Ga 2.01, 1 Nb 2.04, 1 Sc 2.10
O (0.3110, 0.3110, 0.9996)  1 Ga 2.01, 1 Nb 2.04, 1 Sc 2.10
O (0.6890, 0.6890, 0.9996)  1 Ga 2.01, 1 Nb 2.04, 1 Sc 2.10
O (0.1999, 0.8001, 0.1748)  1 Ga 2.01, 1 Nb 2.03, 1 Sc 2.11
O (0.8001, 0.1999, 0.1748)  1 Ga 2.01, 1 Nb 2.03, 1 Sc 2.11
O (0.3001, 0.3001, 0.6748)  1 Ga 2.01, 1 Nb 2.03, 1 Sc 2.11
O (0.6999, 0.6999, 0.6748)  1 Ga 2.01, 1 Nb 2.03, 1 Sc 2.11
O (0.7978, 0.2022, 0.8228)  1 Nb 1.98, 1 Ga 2.02, 1 Sc 2.16
O (0.2022, 0.7978, 0.8228)  1 Nb 1.98, 1 Ga 2.02, 1 Sc 2.16
O (0.7022, 0.7022, 0.3228)  1 Nb 1.98, 1 Ga 2.02, 1 Sc 2.16
O (0.2978, 0.2978, 0.3228)  1 Nb 1.98, 1 Ga 2.02, 1 Sc 2.16

DFT (PBE) results for SrNbGaO5 after structural relaxation.

The calculation puts the density of states at the Fermi level at 0.00 states/eV/f.u. Its space-group type is No. 15.

Lattice parameters (Å, degrees): 5.8518 5.8518 7.6134 104.47 104.47 106.09
Closest atoms and distances in Å follow each position.
Element x y z (fractional)
Sr (0.3286, 0.6714, 0.2500)  7 O 2.50-2.73
Sr (0.6714, 0.3286, 0.7500)  7 O 2.50-2.73
Nb (0.0000, 0.0000, 0.5000)  6 O 1.99-2.05
Nb (0.0000, 0.0000, 0.0000)  6 O 1.99-2.05
Ga (0.6864, 0.3136, 0.2500)  4 O 1.86
Ga (0.3136, 0.6864, 0.7500)  4 O 1.86
O (0.0612, 0.9388, 0.2500)  2 Nb 1.99
O (0.9388, 0.0612, 0.7500)  2 Nb 1.99
O (0.8926, 0.2983, 0.0998)  1 Ga 1.86, 1 Nb 2.05
O (0.1074, 0.7017, 0.9002)  1 Ga 1.86, 1 Nb 2.05
O (0.7017, 0.1074, 0.4002)  1 Ga 1.86, 1 Nb 2.05
O (0.2983, 0.8926, 0.5998)  1 Ga 1.86, 1 Nb 2.05
O (0.7582, 0.6418, 0.4101)  1 Ga 1.86, 1 Nb 2.00
O (0.2418, 0.3582, 0.5899)  1 Ga 1.86, 1 Nb 2.00
O (0.3582, 0.2418, 0.0899)  1 Ga 1.86, 1 Nb 2.00
O (0.6418, 0.7582, 0.9101)  1 Ga 1.86, 1 Nb 2.00

DFT (PBE) results for Sr2NbGaO after structural relaxation.

The calculation puts the density of states at the Fermi level at 3.49 states/eV/f.u. Its space-group type is No. 123.

Lattice parameters (Å, degrees): 5.9239 4.9135 5.9239 90.00 90.00 90.00
Closest atoms and distances in Å follow each position.
Element x y z (fractional)
Sr (0.0000, 0.0000, 0.5000)  2 Ga 2.96
Sr (0.5000, 0.0000, 0.0000)  2 Ga 2.96
Nb (0.0000, 0.5000, 0.0000)  2 Ga 2.46
O (0.5000, 0.5000, 0.5000)  8 Sr 3.85, 4 Nb 4.19
Ga (0.0000, 0.0000, 0.0000)  2 Nb 2.46

DFT (PBE) results for Sr3NbGa2O9 after structural relaxation.

The calculation puts the density of states at the Fermi level at 6.12 states/eV/f.u. Its space-group type is No. 164.

Lattice parameters (Å, degrees): 5.6243 5.6243 6.9483 90.00 90.00 120.00
Closest atoms and distances in Å follow each position.
Element x y z (fractional)
Sr (0.3333, 0.6667, 0.6806)  12 O 2.75-2.91
Sr (0.0000, 0.0000, 0.0000)  12 O 2.81-2.83
Sr (0.6667, 0.3333, 0.3194)  12 O 2.75-2.91
Nb (0.0000, 0.0000, 0.5000)  6 O 2.00
Ga (0.3333, 0.6667, 0.1654)  6 O 1.99
Ga (0.6667, 0.3333, 0.8346)  6 O 1.99
O (0.8328, 0.1672, 0.6673)  1 Ga 1.99, 1 Nb 2.00
O (0.8328, 0.6655, 0.6673)  1 Ga 1.99, 1 Nb 2.00
O (0.3345, 0.1672, 0.6673)  1 Ga 1.99, 1 Nb 2.00
O (0.6655, 0.8328, 0.3327)  1 Ga 1.99, 1 Nb 2.00
O (0.1672, 0.3345, 0.3327)  1 Ga 1.99, 1 Nb 2.00
O (0.1672, 0.8328, 0.3327)  1 Ga 1.99, 1 Nb 2.00
O (0.5000, 0.0000, 0.0000)  2 Ga 1.99
O (0.0000, 0.5000, 0.0000)  2 Ga 1.99
O (0.5000, 0.5000, 0.0000)  2 Ga 1.99

DFT (PBE) results for Ti2NbGaO after structural relaxation.

The calculation puts the density of states at the Fermi level at 5.76 states/eV/f.u. Its space-group type is No. 123.

Lattice parameters (Å, degrees): 4.0380 4.0380 4.4121 90.00 90.00 90.00
Closest atoms and distances in Å follow each position.
Element x y z (fractional)
Nb (0.0000, 0.0000, 0.5000)  2 O 2.21
O (0.0000, 0.0000, 0.0000)  4 Ti 2.02, 2 Nb 2.21
Ga (0.5000, 0.5000, 0.5000)  4 Nb 2.86, 8 Ti 2.99
Ti (0.0000, 0.5000, 0.0000)  2 O 2.02
Ti (0.5000, 0.0000, 0.0000)  2 O 2.02

DFT (PBE) results for NbTl2Ga2O6 after structural relaxation.

The calculation puts the density of states at the Fermi level at 2.61 states/eV/f.u. Its space-group type is No. 12.

Lattice parameters (Å, degrees): 5.8441 5.8727 6.9607 117.67 90.00 119.84
Closest atoms and distances in Å follow each position.
Element x y z (fractional)
Nb (0.5000, 0.0000, 0.5000)  6 O 2.00-2.03
Tl (0.7060, 0.4119, 0.1576)  4 O 2.79-2.90
Tl (0.2940, 0.5881, 0.8424)  4 O 2.79-2.90
Ga (0.9402, 0.8803, 0.7674)  3 O 1.83-1.85
Ga (0.0598, 0.1197, 0.2326)  3 O 1.83-1.85
O (0.7286, 0.4572, 0.6301)  1 Ga 1.83, 1 Nb 2.00
O (0.2246, 0.9382, 0.2711)  1 Ga 1.85, 1 Nb 2.03
O (0.2865, 0.0618, 0.7289)  1 Ga 1.85, 1 Nb 2.03
O (0.7754, 0.0618, 0.7289)  1 Ga 1.85, 1 Nb 2.03
O (0.7135, 0.9382, 0.2711)  1 Ga 1.85, 1 Nb 2.03
O (0.2714, 0.5428, 0.3699)  1 Ga 1.83, 1 Nb 2.00

DFT (PBE) results for NbTlGaO2 after structural relaxation.

The calculation puts the density of states at the Fermi level at 3.31 states/eV/f.u. Its space-group type is No. 123.

Lattice parameters (Å, degrees): 3.9967 5.7316 3.9967 90.00 90.00 90.00
Closest atoms and distances in Å follow each position.
Element x y z (fractional)
O (0.0000, 0.0000, 0.5000)  2 Nb 2.00
O (0.5000, 0.0000, 0.0000)  2 Nb 2.00
Tl (0.5000, 0.5000, 0.5000)  4 Ga 2.83
Nb (0.0000, 0.0000, 0.0000)  4 O 2.00
Ga (0.0000, 0.5000, 0.0000)  4 Tl 2.83, 2 Nb 2.87

E_form (uncorrected) list, top to bottom, in eV/f.u.: -3.27; -18.17; -21.09; -20.37; 2.67; -36.24; -5.30; -17.20; -5.71
Raw total energy list, top to bottom, in eV per atom: -7.488; -6.443; -7.808; -7.492; -3.750; -6.802; -7.829; -6.164; -6.218